1.
Below is Ac7Sm2Dy after structural relaxation, with properties calculated at the GGA-PBE level.

* uncorrected energy: -3.663 eV/atom
* energy of formation from the pure elements: 0.62 eV per atom

Cell and atoms, written as POSCAR:
```
Ac7Sm2Dy
1.0
-0.8838 2.5455 -5.4202
2.0038 -8.4464 -4.2935
-7.4580 -5.9706 -1.5880
Ac Sm Dy
7 2 1
Cartesian
-4.1396 -10.9424 -4.4640 Ac
-0.8577 -8.4818 -7.2235 Ac
0.4789 -4.9489 -5.7822 Ac
-6.8168 -6.9226 -5.5195 Ac
-5.4802 -3.3896 -4.0782 Ac
-3.1689 -5.9357 -5.6509 Ac
-1.3145 -3.4746 -1.4175 Ac
-4.2662 -8.8360 -6.8340 Sm
-2.0717 -3.0355 -4.4677 Sm
0.0000 0.0000 0.0000 Dy
```

=====

2.
Below is AcSm5Dy8 after structural relaxation, with properties calculated at the GGA-PBE level.

* uncorrected energy: -4.559 eV/atom
* energy of formation from the pure elements: 0.05 eV per atom

Cell and atoms, written as POSCAR:
```
AcSm5Dy8
1.0
0.3033 1.0740 -3.3978
13.7295 -9.6282 -1.8181
-1.2285 -8.7884 -1.0055
Dy Ac Sm
8 1 5
Cartesian
2.1370 -9.0576 -2.6724 Dy
11.2814 -11.7888 -2.7196 Dy
10.6676 -8.2849 -3.5489 Dy
5.4295 -9.4961 -4.3993 Dy
1.5225 -5.5555 -3.5024 Dy
3.5674 -3.9783 -0.9392 Dy
9.2365 -13.3636 -5.2821 Dy
7.3746 -7.8441 -1.8213 Dy
5.7880 -13.0641 -3.6130 Ac
12.1727 -14.9140 -3.6279 Sm
8.2771 -10.8820 -2.7011 Sm
0.6312 -2.4316 -2.5945 Sm
4.5274 -6.4584 -3.5196 Sm
0.0004 -0.0019 -0.0006 Sm
```

=====

3.
Below is AcSm4Dy3 after structural relaxation, with properties calculated at the GGA-PBE level.

* uncorrected energy: -4.506 eV/atom
* energy of formation from the pure elements: 0.09 eV per atom

Cell and atoms, written as POSCAR:
```
AcSm4Dy3
1.0
-3.5984 -1.0937 -0.0174
0.3584 -1.0869 -5.8086
5.1485 -10.5662 5.3118
Sm Dy Ac
4 3 1
Cartesian
1.1041 -10.0859 -1.0617 Sm
2.5329 -8.3649 1.7215 Sm
-0.6244 -4.3819 -2.2357 Sm
0.8044 -2.6609 0.5475 Sm
-1.7992 -0.5469 -0.0087 Dy
-0.1462 -6.0079 1.1151 Dy
2.0547 -6.7389 -1.6293 Dy
0.1792 -0.5434 -2.9043 Ac
```

=====

4.
Below is Ac5Sm4Dy after structural relaxation, with properties calculated at the GGA-PBE level.

* uncorrected energy: -4.363 eV/atom
* energy of formation from the pure elements: 0.04 eV per atom

Cell and atoms, written as POSCAR:
```
Ac5Sm4Dy
1.0
3.8754 0.0000 0.0000
0.0000 3.8754 0.0000
0.0000 0.0000 25.7780
Ac Sm Dy
5 4 1
Cartesian
1.9377 1.9377 12.8890 Ac
1.9377 1.9377 7.7025 Ac
1.9377 1.9377 23.2533 Ac
1.9377 1.9377 18.0755 Ac
1.9377 1.9377 2.5247 Ac
0.0000 0.0000 5.1065 Sm
0.0000 0.0000 10.2957 Sm
0.0000 0.0000 20.6715 Sm
0.0000 0.0000 15.4823 Sm
0.0000 0.0000 0.0000 Dy
```

=====

5.
Below is AcSm12Dy2 after structural relaxation, with properties calculated at the GGA-PBE level.

* uncorrected energy: -4.497 eV/atom
* energy of formation from the pure elements: 0.17 eV per atom

Cell and atoms, written as POSCAR:
```
AcSm12Dy2
1.0
0.7189 -2.3696 6.3263
-4.6440 -3.0943 -3.8746
17.5525 -16.2311 -8.0748
Sm Dy Ac
24 4 2
Cartesian
14.5185 -16.4807 -3.1940 Sm
-1.5893 -5.4482 0.9976 Sm
7.0134 -12.2919 -6.0818 Sm
13.2542 -18.9786 -5.3949 Sm
3.5824 -3.3127 -1.6480 Sm
10.0451 -18.3822 -3.9751 Sm
9.5557 -12.1232 -0.8945 Sm
4.9116 -11.2339 -1.4896 Sm
8.9575 -10.4284 -3.6739 Sm
1.8389 -10.7938 -0.1999 Sm
6.6325 -8.5346 -3.1750 Sm
3.9327 -9.7653 -4.6417 Sm
1.7904 -4.8519 2.6714 Sm
-0.8302 -5.1295 -2.4671 Sm
12.0076 -15.6503 -5.2009 Sm
3.8014 -8.0619 -1.4258 Sm
11.7762 -16.9277 -8.2564 Sm
9.8261 -13.6331 -4.1973 Sm
15.0322 -16.2717 -6.9718 Sm
6.7532 -9.2094 0.3719 Sm
11.7886 -10.9011 -5.4232 Sm
0.5578 -2.6913 0.1229 Sm
1.6198 -6.0446 -0.4222 Sm
6.7534 -13.1929 -2.9076 Sm
0.4595 -8.6659 -2.8939 Dy
10.4865 -13.3914 -7.8297 Dy
3.2315 -8.3873 2.1649 Dy
13.0774 -12.9452 -2.6876 Dy
-2.1302 -1.7245 -2.0255 Ac
17.7202 -17.2385 -4.8234 Ac
```

=====

6.
Below is Ac2Sm7Dy3 after structural relaxation, with properties calculated at the GGA-PBE level.

* uncorrected energy: -4.494 eV/atom
* energy of formation from the pure elements: 0.09 eV per atom

Cell and atoms, written as POSCAR:
```
Ac2Sm7Dy3
1.0
-0.0498 1.0691 -3.4722
-6.4068 -0.9185 -0.1909
-7.0016 16.2934 5.1173
Dy Sm Ac
3 7 2
Cartesian
-3.0847 5.4459 1.7211 Dy
-10.3237 9.9290 3.2053 Dy
-3.2283 0.0753 -1.8316 Dy
0.0000 0.0000 0.0000 Sm
-4.7052 2.0830 0.7088 Sm
-5.0568 8.4921 0.7863 Sm
-11.8605 13.2904 2.3613 Sm
-8.7032 13.2920 4.2175 Sm
-1.5977 3.1536 -0.9071 Sm
-8.4014 7.9520 0.6679 Sm
-7.2219 11.1432 1.6336 Ac
-6.2363 5.3009 -0.1794 Ac
```

=====

7.
Below is AcSm2Dy5 after structural relaxation, with properties calculated at the GGA-PBE level.

* uncorrected energy: -4.539 eV/atom
* energy of formation from the pure elements: 0.03 eV per atom

Cell and atoms, written as POSCAR:
```
AcSm2Dy5
1.0
7.2622 0.0000 0.0000
0.0000 7.2331 0.0000
0.0000 0.0000 20.3349
Sm Dy Ac
8 20 4
Cartesian
3.6311 1.8265 7.6100 Sm
1.8494 3.6165 0.0000 Sm
3.6311 1.7901 17.7775 Sm
3.6311 5.4430 2.5574 Sm
1.8494 0.0000 10.1674 Sm
3.6311 5.4066 12.7248 Sm
5.4128 0.0000 10.1674 Sm
5.4128 3.6165 0.0000 Sm
3.6311 5.4324 7.6147 Dy
0.0000 1.8216 2.5547 Dy
5.4076 0.0172 5.0837 Dy
1.8545 3.6338 5.0838 Dy
0.0000 1.7950 12.7222 Dy
3.6311 1.8007 12.7202 Dy
1.8545 3.5993 15.2511 Dy
5.4076 3.6338 5.0838 Dy
1.8545 0.0172 5.0837 Dy
5.4105 0.0000 0.0000 Dy
3.6311 5.4172 17.7821 Dy
1.8517 3.6165 10.1674 Dy
3.6311 1.8159 2.5528 Dy
0.0000 5.4381 7.6127 Dy
1.8517 0.0000 0.0000 Dy
5.4076 7.2159 15.2512 Dy
1.8545 7.2159 15.2512 Dy
0.0000 5.4115 17.7801 Dy
5.4076 3.5993 15.2511 Dy
5.4105 3.6165 10.1674 Dy
0.0000 5.4077 12.7272 Ac
0.0000 5.4420 2.5598 Ac
0.0000 1.7911 17.7751 Ac
0.0000 1.8254 7.6077 Ac
```

=====

8.
Below is Ac15Sm4Dy after structural relaxation, with properties calculated at the GGA-PBE level.

* uncorrected energy: -4.226 eV/atom
* energy of formation from the pure elements: 0.03 eV per atom

Cell and atoms, written as POSCAR:
```
Ac15Sm4Dy
1.0
-4.9366 -2.4689 0.1292
1.9820 -4.1247 -3.0889
7.3543 -13.5137 22.7639
Ac Sm Dy
15 4 1
Cartesian
-1.7382 -2.5760 2.3245 Ac
4.4099 -14.1146 16.7429 Ac
7.6152 -14.2344 18.9596 Ac
-1.4773 -3.2968 -1.4799 Ac
4.6681 -8.8192 9.8375 Ac
2.9361 -11.4065 12.1811 Ac
6.1415 -11.5266 14.3982 Ac
1.4636 -8.7007 7.6231 Ac
2.6822 -10.6987 16.0072 Ac
4.1559 -13.4066 20.5686 Ac
1.2088 -7.9913 11.4466 Ac
1.7211 -3.4039 0.7154 Ac
-0.0102 -5.9926 3.0613 Ac
3.1947 -6.1117 5.2768 Ac
-0.2646 -5.2839 6.8859 Ac
4.4132 -8.1094 13.6604 Sm
2.9411 -5.4043 9.1036 Sm
5.8878 -10.8189 18.2246 Sm
1.4665 -2.6947 4.5393 Sm
0.0000 0.0000 0.0000 Dy
```

=====

9.
Below is Ac2SmDy after structural relaxation, with properties calculated at the GGA-PBE level.

* uncorrected energy: -4.344 eV/atom
* energy of formation from the pure elements: 0.04 eV per atom
* offset from the most stable computed form: 2 meV per atom

Cell and atoms, written as POSCAR:
```
Ac2SmDy
1.0
-0.0329 3.7558 -0.7152
-1.5789 -1.1752 -6.0979
-5.0127 0.9909 5.4334
Ac Dy Sm
2 1 1
Cartesian
-5.4270 3.5187 3.3467 Ac
-3.6947 0.5577 -2.0630 Ac
-2.9210 3.0227 0.6294 Dy
-6.1992 1.0528 0.6555 Sm
```

=====

10.
Below is AcSm6Dy2 after structural relaxation, with properties calculated at the GGA-PBE level.

* uncorrected energy: -4.609 eV/atom
* energy of formation from the pure elements: 0.02 eV per atom

Cell and atoms, written as POSCAR:
```
AcSm6Dy2
1.0
0.2971 -3.3337 -1.5512
1.1577 3.8903 -8.1163
8.4331 -4.4182 6.7054
Sm Ac Dy
6 1 2
Cartesian
4.7878 -4.0487 0.8371 Sm
5.1001 0.1870 -3.7992 Sm
3.3416 -1.2775 -0.9969 Sm
6.5464 -2.5842 -1.9652 Sm
2.0949 -1.8503 -4.3858 Sm
7.7930 -2.0114 1.4237 Sm
0.0000 0.0000 0.0000 Ac
2.6854 1.1219 -6.2710 Dy
7.2026 -4.9835 3.3089 Dy
```

=====

11.
Below is Ac6SmDy after structural relaxation, with properties calculated at the GGA-PBE level.

* uncorrected energy: -3.892 eV/atom
* energy of formation from the pure elements: 0.35 eV per atom

Cell and atoms, written as POSCAR:
```
Ac6SmDy
1.0
-2.1670 -5.8267 -0.8189
4.9431 -3.0809 -2.3217
3.6525 -5.1016 7.9592
Dy Ac Sm
1 6 1
Cartesian
0.0000 0.0000 0.0000 Dy
6.2357 -9.1662 2.9839 Ac
2.0313 -6.0543 -1.4515 Ac
2.7760 -10.5024 3.7152 Ac
3.6527 -3.5068 1.1034 Ac
4.3973 -7.9548 6.2701 Ac
0.1929 -4.8429 1.8347 Ac
3.2143 -7.0046 2.4093 Sm
```

=====

12.
Below is AcSm3Dy2 after structural relaxation, with properties calculated at the GGA-PBE level.

* uncorrected energy: -4.313 eV/atom
* energy of formation from the pure elements: 0.27 eV per atom
* offset from the most stable computed form: 0 meV per atom

Cell and atoms, written as POSCAR:
```
AcSm3Dy2
1.0
8.2548 1.0681 0.5289
-0.0660 8.3234 0.5289
1.5735 1.8046 6.6027
Sm Dy Ac
6 4 2
Cartesian
3.3671 7.7124 5.4810 Sm
4.9870 6.2424 0.8869 Sm
6.2919 6.6929 4.1882 Sm
3.4705 4.5031 3.4723 Sm
6.3953 3.4836 2.1796 Sm
4.7753 4.9536 6.7737 Sm
9.2009 6.5730 5.8586 Dy
4.4720 9.1079 2.5572 Dy
0.5615 4.6231 1.8020 Dy
5.2903 2.0881 5.1033 Dy
0.9319 8.2474 2.1796 Ac
8.8304 2.9486 5.4810 Ac
```

=====

13.
Below is AcSm6Dy8 after structural relaxation, with properties calculated at the GGA-PBE level.

* uncorrected energy: -4.404 eV/atom
* energy of formation from the pure elements: 0.21 eV per atom
* offset from the most stable computed form: 43 meV per atom

Cell and atoms, written as POSCAR:
```
AcSm6Dy8
1.0
7.7782 -0.2800 2.9519
1.9403 7.5376 2.9519
-0.3749 -0.2800 8.3111
Dy Sm Ac
8 6 1
Cartesian
7.3830 0.6229 8.2875 Dy
6.5395 6.9022 5.7596 Dy
1.9262 4.3103 10.0643 Dy
2.8041 0.0754 8.4553 Dy
7.4174 2.6673 4.1506 Dy
7.1661 5.3515 10.9021 Dy
1.9606 6.3547 5.9274 Dy
2.1775 1.6261 3.3128 Dy
1.9232 3.0193 6.9098 Sm
7.4205 3.9583 7.3051 Sm
4.8640 2.4842 9.7090 Sm
4.9785 0.9866 5.8993 Sm
4.3652 5.9909 8.3156 Sm
4.4797 4.4934 4.5058 Sm
0.0000 0.0000 0.0000 Ac
```

=====

14.
Below is Ac7SmDy2 after structural relaxation, with properties calculated at the GGA-PBE level.

* uncorrected energy: -3.645 eV/atom
* energy of formation from the pure elements: 0.62 eV per atom

Cell and atoms, written as POSCAR:
```
Ac7SmDy2
1.0
6.1129 0.0000 0.0000
0.0000 9.5422 1.4995
0.0000 2.9179 9.2080
Ac Dy Sm
7 2 1
Cartesian
3.0564 6.2300 5.3537 Ac
0.0000 3.0098 2.5864 Ac
3.0564 6.7666 1.5957 Ac
0.0000 9.4503 8.1211 Ac
3.0564 5.6935 9.1118 Ac
3.0564 9.8646 4.2579 Ac
3.0564 2.5955 6.4495 Ac
3.0564 8.7389 7.5097 Dy
3.0564 3.7212 3.1978 Dy
0.0000 0.0000 0.0000 Sm
```

=====

15.
Below is AcSm6Dy8 after structural relaxation, with properties calculated at the GGA-PBE level.

* uncorrected energy: -4.447 eV/atom
* energy of formation from the pure elements: 0.17 eV per atom
* offset from the most stable computed form: 0 meV per atom

Cell and atoms, written as POSCAR:
```
AcSm6Dy8
1.0
-5.2407 2.4209 -7.2946
-8.5702 -3.4950 -0.9343
-7.1097 4.8444 0.7841
Sm Dy Ac
6 8 1
Cartesian
-16.5847 2.4379 -3.4133 Sm
-6.6524 -0.8857 -2.4056 Sm
-3.4103 -0.3008 -0.9647 Sm
-17.5103 4.0712 -6.4801 Sm
-4.3359 1.3324 -4.0315 Sm
-14.2682 4.6561 -5.0391 Sm
-7.3820 2.5188 -2.3696 Dy
-9.5069 0.3183 -0.8339 Dy
-8.2775 3.9653 -5.3397 Dy
-11.4137 3.4520 -6.6109 Dy
-10.9910 2.9869 -2.9755 Dy
-13.5386 1.2516 -5.0751 Dy
-12.6431 -0.1949 -2.1051 Dy
-9.9296 0.7835 -4.4693 Dy
0.0000 0.0000 0.0000 Ac
```

=====

16.
Below is Ac2SmDy after structural relaxation, with properties calculated at the GGA-PBE level.

* uncorrected energy: -4.342 eV/atom
* energy of formation from the pure elements: 0.04 eV per atom
* offset from the most stable computed form: 4 meV per atom

Cell and atoms, written as POSCAR:
```
Ac2SmDy
1.0
3.8249 0.0000 0.0000
1.9124 3.3125 0.0000
1.9124 1.1042 12.0452
Sm Ac Dy
1 2 1
Cartesian
3.8249 2.2083 6.0226 Sm
5.7373 3.3125 9.0659 Ac
1.9125 1.1042 2.9793 Ac
0.0000 0.0000 0.0000 Dy
```

=====

17.
Below is Ac5SmDy4 after structural relaxation, with properties calculated at the GGA-PBE level.

* uncorrected energy: -4.320 eV/atom
* energy of formation from the pure elements: 0.05 eV per atom

Cell and atoms, written as POSCAR:
```
Ac5SmDy4
1.0
5.3275 0.0000 1.2169
1.8117 9.7966 4.3386
0.7273 4.1436 9.0859
Ac Sm Dy
5 1 4
Cartesian
4.6609 2.2328 4.1349 Ac
3.2055 11.7074 10.5065 Ac
3.3290 6.6883 9.9660 Ac
4.5375 7.2519 4.6754 Ac
1.2695 6.9701 6.7122 Ac
0.0000 0.0000 0.0000 Sm
5.9328 9.1934 10.8367 Dy
3.8710 9.5024 7.5931 Dy
1.9336 4.7468 3.8047 Dy
3.9954 4.4378 7.0483 Dy
```

=====

18.
Below is AcSm2Dy3 after structural relaxation, with properties calculated at the GGA-PBE level.

* uncorrected energy: -4.459 eV/atom
* energy of formation from the pure elements: 0.10 eV per atom

Cell and atoms, written as POSCAR:
```
AcSm2Dy3
1.0
6.7635 0.5041 -0.5082
-1.1431 6.6853 -0.5082
-0.5183 -0.6630 9.0828
Sm Dy Ac
4 6 2
Cartesian
1.2311 5.5896 5.0562 Sm
-0.2843 3.6512 7.5515 Sm
5.3864 2.8752 0.5148 Sm
3.8710 0.9368 3.0102 Sm
2.9448 5.2019 8.3112 Dy
3.0160 2.6327 6.3039 Dy
2.1573 1.3245 -0.2449 Dy
0.5056 2.0817 4.2965 Dy
2.0861 3.8937 1.7625 Dy
4.5965 4.4447 3.7698 Dy
5.7125 0.5246 6.3039 Ac
-0.6104 6.0018 1.7625 Ac
```

=====

19.
Below is Ac9Sm2Dy after structural relaxation, with properties calculated at the GGA-PBE level.

* uncorrected energy: -4.222 eV/atom
* energy of formation from the pure elements: 0.03 eV per atom

Cell and atoms, written as POSCAR:
```
Ac9Sm2Dy
1.0
5.5046 0.0000 0.0000
0.0000 5.5046 0.0000
0.0000 0.0000 16.5200
Ac Dy Sm
9 1 2
Cartesian
0.0000 2.7523 8.2600 Ac
2.7523 0.0000 13.7832 Ac
2.7523 2.7523 0.0000 Ac
2.7523 2.7523 5.4981 Ac
0.0000 2.7523 2.7368 Ac
2.7523 2.7523 11.0219 Ac
0.0000 2.7523 13.7832 Ac
2.7523 0.0000 8.2600 Ac
2.7523 0.0000 2.7368 Ac
0.0000 0.0000 0.0000 Dy
0.0000 0.0000 5.4974 Sm
0.0000 0.0000 11.0226 Sm
```

=====

20.
Below is AcSm2Dy after structural relaxation, with properties calculated at the GGA-PBE level.

* uncorrected energy: -4.369 eV/atom
* energy of formation from the pure elements: 0.17 eV per atom
* offset from the most stable computed form: 127 meV per atom

Cell and atoms, written as POSCAR:
```
AcSm2Dy
1.0
-2.6008 1.5627 1.9724
-3.1688 -1.6823 0.4745
2.6714 -5.7165 11.3718
Sm Dy Ac
2 1 1
Cartesian
1.3957 -4.1404 8.4409 Sm
-4.4939 -1.6957 5.3778 Sm
-1.5491 -2.9181 6.9093 Dy
0.0000 0.0000 0.0000 Ac
```